Entry 1:
This record from the Alexandria database describes In3PtS after structural relaxation. The functional is PBE.

Unit cell a=5.1696 b=5.1696 c=5.1696 alpha=90.00 beta=90.00 gamma=90.00
Closest atoms and distances in Å follow each position.
Space group Pm-3m (No. 221)
Inequivalent atoms, fractional coordinates:
In 0.0000 0.0000 0.5000 [3 per cell]  2 Pt 2.58
Pt 0.0000 0.0000 0.0000 [1 per cell]  6 In 2.58
S 0.5000 0.5000 0.5000 [1 per cell]  12 In 3.66

Calculated values
The value obtained for the polymorph energy (0 for the lowest one) is 0.000 eV per atom. Its total moment is 0.00 Bohr magnetons per cell.


Entry 2:
This record from the Alexandria database describes InPtS3 after structural relaxation. The functional is PBE.

Unit cell a=4.7608 b=4.7608 c=4.7608 alpha=90.00 beta=90.00 gamma=90.00
Closest atoms and distances in Å follow each position.
Space group Pm-3m (No. 221)
Inequivalent atoms, fractional coordinates:
In 0.0000 0.0000 0.0000 [1 per cell]  12 S 3.37
Pt 0.5000 0.5000 0.5000 [1 per cell]  6 S 2.38
S 0.0000 0.5000 0.5000 [3 per cell]  2 Pt 2.38

Calculated values
The value obtained for the polymorph energy (0 for the lowest one) is 0.000 eV per atom. Its total moment is 0.00 Bohr magnetons per cell.


Entry 3:
This record from the Alexandria database describes InPtS2 after structural relaxation. The functional is PBE.

Unit cell a=5.7006 b=5.7006 c=11.4838 alpha=90.00 beta=90.00 gamma=90.00
Closest atoms and distances in Å follow each position.
Space group I-42d (No. 122)
Inequivalent atoms, fractional coordinates:
In 0.0000 0.0000 0.0000 [4 per cell]  4 S 2.59
Pt 0.0000 0.0000 0.5000 [4 per cell]  4 S 2.37
S 0.2167 0.2500 0.6250 [8 per cell]  2 Pt 2.37, 2 In 2.59

Calculated values
Its total moment is 0.00 Bohr magnetons per cell.


Entry 4:
This record from the Alexandria database describes InPt3S after structural relaxation. The functional is PBE.

Unit cell a=4.5820 b=4.5820 c=4.5820 alpha=90.00 beta=90.00 gamma=90.00
Closest atoms and distances in Å follow each position.
Space group Pm-3m (No. 221)
Inequivalent atoms, fractional coordinates:
In 0.0000 0.0000 0.0000 [1 per cell]  12 Pt 3.24
Pt 0.0000 0.5000 0.5000 [3 per cell]  2 S 2.29
S 0.5000 0.5000 0.5000 [1 per cell]  6 Pt 2.29

Calculated values
The value obtained for the polymorph energy (0 for the lowest one) is 0.000 eV per atom. Its total moment is 0.00 Bohr magnetons per cell.


Entry 5:
This record from the Alexandria database describes InPt3S after structural relaxation. The functional is PBE.

Unit cell a=4.9549 b=4.9549 c=4.9549 alpha=90.00 beta=90.00 gamma=90.00
Closest atoms and distances in Å follow each position.
Space group Pm-3m (No. 221)
Inequivalent atoms, fractional coordinates:
In 0.0000 0.0000 0.0000 [1 per cell]  6 Pt 2.48
Pt 0.0000 0.0000 0.5000 [3 per cell]  2 In 2.48
S 0.5000 0.5000 0.5000 [1 per cell]  12 Pt 3.50

Calculated values
The value obtained for the polymorph energy (0 for the lowest one) is 1.198 eV per atom. Its total moment is 0.00 Bohr magnetons per cell.


Entry 6:
This record from the Alexandria database describes InPt4S8 after structural relaxation. The functional is PBE.

Unit cell a=10.3760 b=10.3760 c=10.3760 alpha=90.00 beta=90.00 gamma=90.00
Closest atoms and distances in Å follow each position.
Space group F-43m (No. 216)
Inequivalent atoms, fractional coordinates:
In 0.0000 0.0000 0.0000 [4 per cell]  4 S 2.57
Pt 0.1197 0.1197 0.6197 [16 per cell]  6 S 2.40-2.49
S 0.1112 0.1112 0.3888 [16 per cell]  3 Pt 2.40
S 0.1429 0.1429 0.8571 [16 per cell]  3 Pt 2.49, 1 In 2.57

Calculated values
Its total moment is 0.00 Bohr magnetons per cell.


Entry 7:
This record from the Alexandria database describes InSn2PtS after structural relaxation. The functional is PBE.

Unit cell a=5.3652 b=5.3652 c=4.9691 alpha=90.00 beta=90.00 gamma=90.00
Closest atoms and distances in Å follow each position.
Space group P4/mmm (No. 123)
Inequivalent atoms, fractional coordinates:
In 0.0000 0.0000 0.0000 [1 per cell]  8 Sn 3.66, 4 S 3.79
Sn 0.0000 0.5000 0.5000 [2 per cell]  2 Pt 2.68
Pt 0.5000 0.5000 0.5000 [1 per cell]  2 S 2.48, 4 Sn 2.68
S 0.5000 0.5000 0.0000 [1 per cell]  2 Pt 2.48

Calculated values
Its total moment is 0.00 Bohr magnetons per cell.


Entry 8:
This record from the Alexandria database describes ZnInPtS2 after structural relaxation. The functional is PBE.

Unit cell a=4.6348 b=4.6348 c=4.9346 alpha=90.00 beta=90.00 gamma=90.00
Closest atoms and distances in Å follow each position.
Space group P4/mmm (No. 123)
Inequivalent atoms, fractional coordinates:
Zn 0.0000 0.0000 0.0000 [1 per cell]  4 S 2.32, 2 Pt 2.47
In 0.5000 0.5000 0.5000 [1 per cell]  4 Pt 3.28, 8 S 3.38
Pt 0.0000 0.0000 0.5000 [1 per cell]  2 Zn 2.47
S 0.0000 0.5000 0.0000 [2 per cell]  2 Zn 2.32

Calculated values
Its total moment is 0.00 Bohr magnetons per cell.


Entry 9:
This record from the Alexandria database describes In2SbPt after structural relaxation. The functional is PBE.

Unit cell a=3.2971 b=3.3706 c=8.4683 alpha=90.00 beta=90.00 gamma=90.00
Closest atoms and distances in Å follow each position.
Space group Pmm2 (No. 25)
Inequivalent atoms, fractional coordinates:
In 0.0000 0.0000 0.0000 [1 per cell]  8 In 3.30-3.37, 4 Sb 3.60
In 0.5000 0.5000 0.2824 [1 per cell]  4 Pt 2.96, 2 In 3.30
Sb 0.5000 0.5000 0.6790 [1 per cell]  4 Pt 2.83
Pt 0.0000 0.0000 0.4935 [1 per cell]  4 Sb 2.83, 4 In 2.96

Calculated values
Its total moment is 0.00 Bohr magnetons per cell.


Entry 10:
This record from the Alexandria database describes InSbPt6 after structural relaxation. The functional is PBE.

Unit cell a=4.0621 b=4.0621 c=8.1293 alpha=90.00 beta=90.00 gamma=90.00
Closest atoms and distances in Å follow each position.
Space group P4/mmm (No. 123)
Inequivalent atoms, fractional coordinates:
In 0.0000 0.0000 0.0000 [1 per cell]  12 Pt 2.87
Sb 0.0000 0.0000 0.5000 [1 per cell]  12 Pt 2.87
Pt 0.0000 0.5000 0.2503 [4 per cell]  2 Sb 2.87, 8 Pt 2.87, 2 In 2.87
Pt 0.5000 0.5000 0.0000 [1 per cell]  4 In 2.87, 8 Pt 2.87
Pt 0.5000 0.5000 0.5000 [1 per cell]  8 Pt 2.87, 4 Sb 2.87

Calculated values
Its total moment is 0.00 Bohr magnetons per cell.


Entry 11:
This record from the Alexandria database describes In2SbPt after structural relaxation. The functional is PBE.

Unit cell a=7.2779 b=4.2068 c=7.1787 alpha=90.00 beta=109.51 gamma=90.00
Closest atoms and distances in Å follow each position.
Space group Cm (No. 8)
Inequivalent atoms, fractional coordinates:
In 0.0000 0.0000 0.0000 [2 per cell]  3 In 3.17-3.19, 3 Sb 3.27-3.29
In 0.2305 0.0000 0.6948 [2 per cell]  3 Pt 2.78
Sb 0.2759 0.5000 0.3261 [2 per cell]  3 Pt 2.68
Pt 0.4978 0.0000 0.4947 [2 per cell]  3 Sb 2.68, 3 In 2.78

Calculated values
Its total moment is 0.00 Bohr magnetons per cell.


Entry 12:
This record from the Alexandria database describes In2SbPt after structural relaxation. The functional is PBE.

Unit cell a=4.7274 b=4.7274 c=18.1965 alpha=90.00 beta=90.00 gamma=90.00
Closest atoms and distances in Å follow each position.
Space group I-42d (No. 122)
Inequivalent atoms, fractional coordinates:
In 0.1922 0.2500 0.1250 [8 per cell]  2 Pt 2.72, 2 Sb 2.95, 2 In 2.98
Sb 0.0000 0.0000 0.5000 [4 per cell]  4 In 2.95
Pt 0.0000 0.0000 0.0000 [4 per cell]  4 In 2.72

Calculated values
Its total moment is 0.00 Bohr magnetons per cell.


Entry 13:
This record from the Alexandria database describes InSb2Pt7 after structural relaxation. The functional is PBE.

Unit cell a=4.0229 b=4.0229 c=22.8716 alpha=90.00 beta=90.00 gamma=90.00
Closest atoms and distances in Å follow each position.
Space group I4/mmm (No. 139)
Inequivalent atoms, fractional coordinates:
In 0.0000 0.0000 0.0000 [2 per cell]  12 Pt 2.84-2.88
Sb 0.0000 0.0000 0.3313 [4 per cell]  8 Pt 2.70-2.74
Pt 0.0000 0.0000 0.5000 [2 per cell]  4 In 2.84, 8 Pt 2.88
Pt 0.0000 0.5000 0.0902 [8 per cell]  2 Sb 2.70, 6 Pt 2.84-2.88, 2 In 2.88
Pt 0.0000 0.5000 0.2500 [4 per cell]  4 Sb 2.74, 4 Pt 2.84

Calculated values
Its total moment is 0.00 Bohr magnetons per cell.


Values for raw formation energy, eV per atom, ordered as above
-0.192 0.273 -0.199 0.208 1.405 -0.273 0.143 0.445 -0.141 -0.316 -0.200 -0.006 -0.346